# 1
Material: YScIr2
Method: DFT, GGA-PBEsol
State: optimized geometry

Values from the calculation:
The energy of formation is -0.5817 eV/atom. Its total DFT energy (no corrections) is -8.850 eV per atom. Its space-group type is Imm2 (44).

Cell lengths 3.8753, 3.9342, 5.4468 Å; angles 111.17, 110.84, 90.00 degrees
Positions (direct):
1 Ir 0.7501 0.2501 0.5002
2 Ir 0.0004 0.0004 0.0007
3 Y 0.2504 0.7504 0.5008
4 Sc 0.4991 0.4991 0.9983

# 2
Material: BAuIN2
Method: DFT, GGA-PBEsol
State: optimized geometry

Values from the calculation:
Its total DFT energy (no corrections) is -3.752 eV per atom. Its space-group type is P4/mmm (123).

Cell lengths 3.8478, 3.8478, 7.6726 Å; angles 90.00, 90.00, 90.00 degrees
Each line ends with the local moment (μB).
Positions (direct):
1 N 0.0000 0.5000 0.0000  0.89
2 N 0.5000 0.0000 0.0000  0.89
3 B 0.5000 0.5000 0.5000  0.01
4 Au 0.0000 0.0000 0.0000  0.29
5 I 0.0000 0.0000 0.5000  0.00

# 3
Material: ZnAuSe
Method: DFT, GGA-PBEsol
State: optimized geometry

Values from the calculation:
Its total DFT energy (no corrections) is -3.014 eV per atom. Its space-group type is I4mm (107).

Cell lengths 2.9105, 2.9105, 6.6882 Å; angles 102.57, 102.57, 90.00 degrees
Positions (direct):
1 Se 0.6879 0.6879 0.3758
2 Au 0.9732 0.9732 0.9463
3 Zn 0.3389 0.3389 0.6779

# 4
Material: Tc2P
Method: DFT, GGA-PBEsol
State: optimized geometry

Values from the calculation:
The energy of formation is -0.4935 eV/atom. Its total DFT energy (no corrections) is -9.935 eV per atom. Its space-group type is Pnma (62). The calculation puts the offset from the most stable computed form at 0 meV per atom.

Cell lengths 3.9485, 5.8115, 6.8865 Å; angles 90.00, 90.00, 90.00 degrees
Positions (direct):
1 P 0.7500 0.7582 0.1050
2 P 0.2500 0.2418 0.8950
3 P 0.2500 0.7418 0.6050
4 P 0.7500 0.2582 0.3950
5 Tc 0.2500 0.5086 0.3311
6 Tc 0.2500 0.1405 0.5734
7 Tc 0.7500 0.3595 0.0734
8 Tc 0.7500 0.4914 0.6689
9 Tc 0.7500 0.8595 0.4266
10 Tc 0.2500 0.0086 0.1689
11 Tc 0.7500 0.9914 0.8311
12 Tc 0.2500 0.6405 0.9266

# 5
Material: Nd3Rh2
Method: DFT, GGA-PBEsol
State: optimized geometry

Values from the calculation:
The energy of formation is -0.5635 eV/atom. Its total DFT energy (no corrections) is -6.919 eV per atom. Its space-group type is R-3 (148).

Cell lengths 7.4604, 7.4604, 7.4604 Å; angles 71.83, 71.83, 71.83 degrees
Positions (direct):
1 Nd 0.8351 0.6081 0.3355
2 Nd 0.1649 0.3919 0.6645
3 Nd 0.2044 0.2044 0.2044
4 Nd 0.3355 0.8351 0.6081
5 Nd 0.3919 0.6645 0.1649
6 Nd 0.7956 0.7956 0.7956
7 Nd 0.6081 0.3355 0.8351
8 Nd 0.6645 0.1649 0.3919
9 Nd 0.0000 0.0000 0.0000
10 Rh 0.5903 0.9577 0.1604
11 Rh 0.0423 0.8396 0.4097
12 Rh 0.4097 0.0423 0.8396
13 Rh 0.9577 0.1604 0.5903
14 Rh 0.1604 0.5903 0.9577
15 Rh 0.8396 0.4097 0.0423

# 6
Material: Cr2SiCl
Method: DFT, GGA-PBEsol
State: optimized geometry

Values from the calculation:
Its total DFT energy (no corrections) is -6.899 eV per atom. Its space-group type is C2/m (12). The calculation puts the offset from the most stable computed form at 65 meV per atom.

Cell lengths 2.9615, 3.8342, 6.6004 Å; angles 85.55, 77.04, 67.28 degrees
Each line ends with the local moment (μB).
Positions (direct):
1 Si 0.0000 0.5000 0.5000  -0.13
2 Cl 0.5000 0.0000 0.0000  0.00
3 Cr 0.1921 0.9244 0.6915  2.90
4 Cr 0.8079 0.0756 0.3085  2.90

# 7
Material: LaSc2Al
Method: DFT, GGA-PBEsol
State: optimized geometry

Values from the calculation:
The energy of formation is 0.0109 eV/atom. Its total DFT energy (no corrections) is -5.651 eV per atom. Its space-group type is C2/m (12).

Cell lengths 3.1752, 5.8699, 6.0973 Å; angles 117.09, 102.26, 95.73 degrees
Positions (direct):
1 Al 0.5000 0.0000 0.0000
2 Sc 0.5000 0.5000 0.5000
3 Sc 0.0000 0.0000 0.5000
4 La 0.0000 0.5000 0.0000

# 8
Material: VGaO3
Method: DFT, GGA-PBEsol
State: optimized geometry

Values from the calculation:
Its total DFT energy (no corrections) is -7.713 eV per atom. Its space-group type is Pnma (62).

Cell lengths 5.0626, 5.0534, 7.5962 Å; angles 90.00, 90.00, 90.00 degrees
Each line ends with the local moment (μB).
Positions (direct):
1 V 0.5000 0.5000 0.0000  1.84
2 V 0.5000 0.5000 0.5000  1.84
3 V 0.0000 0.0000 0.0000  1.84
4 V 0.0000 0.0000 0.5000  1.84
5 O 0.3311 0.1657 0.9284  -0.04
6 O 0.6689 0.8343 0.4284  -0.04
7 O 0.6689 0.8343 0.0716  -0.04
8 O 0.8311 0.3343 0.9284  -0.04
9 O 0.3311 0.1657 0.5716  -0.04
10 O 0.3875 0.6281 0.7500  0.00
11 O 0.6125 0.3719 0.2500  0.00
12 O 0.1689 0.6657 0.4284  -0.04
13 O 0.1689 0.6657 0.0716  -0.04
14 O 0.8311 0.3343 0.5716  -0.04
15 O 0.1125 0.1281 0.2500  0.00
16 O 0.8875 0.8719 0.7500  0.00
17 Ga 0.4793 0.0119 0.2500  0.05
18 Ga 0.5207 0.9881 0.7500  0.05
19 Ga 0.0207 0.5119 0.7500  0.05
20 Ga 0.9793 0.4881 0.2500  0.05

# 9
Material: Y3Ge2Rh2
Method: DFT, GGA-PBEsol
State: optimized geometry

Values from the calculation:
The energy of formation is -0.9594 eV/atom. Its total DFT energy (no corrections) is -7.620 eV per atom. Its space-group type is Pbcm (57).

Cell lengths 5.5288, 7.6921, 13.1040 Å; angles 90.00, 90.00, 90.00 degrees
Positions (direct):
1 Y 0.8565 0.6031 0.6004
2 Y 0.6292 0.2390 0.7500
3 Y 0.8565 0.6031 0.8996
4 Y 0.1435 0.1031 0.8996
5 Y 0.1435 0.3969 0.1004
6 Y 0.8565 0.8969 0.3996
7 Y 0.1435 0.3969 0.3996
8 Y 0.3708 0.7610 0.2500
9 Y 0.6292 0.2610 0.2500
10 Y 0.8565 0.8969 0.1004
11 Y 0.3708 0.7390 0.7500
12 Y 0.1435 0.1031 0.6004
13 Ge 0.8695 0.6126 0.2500
14 Ge 0.8695 0.8874 0.7500
15 Ge 0.1305 0.3874 0.7500
16 Ge 0.6612 0.2500 0.5000
17 Ge 0.1305 0.1126 0.2500
18 Ge 0.3388 0.7500 0.0000
19 Ge 0.6612 0.2500 0.0000
20 Ge 0.3388 0.7500 0.5000
21 Rh 0.3728 0.4574 0.9082
22 Rh 0.6272 0.9574 0.9082
23 Rh 0.3728 0.0426 0.4082
24 Rh 0.3728 0.0426 0.0918
25 Rh 0.6272 0.5426 0.0918
26 Rh 0.6272 0.5426 0.4082
27 Rh 0.3728 0.4574 0.5918
28 Rh 0.6272 0.9574 0.5918

# 10
Material: Tl2BiAu2
Method: DFT, GGA-PBEsol
State: optimized geometry

Values from the calculation:
The energy of formation is 0.1297 eV/atom. Its total DFT energy (no corrections) is -3.349 eV per atom. Its space-group type is I4/mmm (139). The calculation puts the offset from the most stable computed form at 115 meV per atom.

Cell lengths 4.2974, 4.2974, 7.2381 Å; angles 107.27, 107.27, 90.00 degrees
Positions (direct):
1 Bi 0.0000 0.0000 0.0000
2 Au 0.5998 0.5998 0.1996
3 Au 0.4002 0.4002 0.8004
4 Tl 0.2500 0.7500 0.5000
5 Tl 0.7500 0.2500 0.5000

# 11
Material: TbAl3C3
Method: DFT, GGA-PBEsol
State: optimized geometry

Values from the calculation:
The energy of formation is -0.3094 eV/atom. Its total DFT energy (no corrections) is -6.912 eV per atom. Its space-group type is P6_3/mmc (194).

Cell lengths 3.4214, 3.4214, 17.2298 Å; angles 90.00, 90.00, 120.00 degrees
Positions (direct):
1 Al 0.3333 0.6667 0.1336
2 Al 0.6667 0.3333 0.6336
3 Al 0.6667 0.3333 0.8664
4 Al 0.3333 0.6667 0.3664
5 Al 0.3333 0.6667 0.7500
6 Al 0.6667 0.3333 0.2500
7 C 0.3333 0.6667 0.9069
8 C 0.6667 0.3333 0.0931
9 C 0.6667 0.3333 0.4069
10 C 0.3333 0.6667 0.5931
11 C 0.6667 0.3333 0.7500
12 C 0.3333 0.6667 0.2500
13 Tb 0.0000 0.0000 0.5000
14 Tb 0.0000 0.0000 0.0000

# 12
Material: ScTc2Ir
Method: DFT, GGA-PBEsol
State: optimized geometry

Values from the calculation:
The energy of formation is -0.1109 eV/atom. Its total DFT energy (no corrections) is -9.851 eV per atom. Its space-group type is Cm (8). The calculation puts the offset from the most stable computed form at 60 meV per atom.

Cell lengths 2.7943, 4.7813, 4.8295 Å; angles 100.20, 90.00, 106.99 degrees
Positions (direct):
1 Tc 0.9869 0.9737 0.9568
2 Tc 0.2426 0.4853 0.7808
3 Ir 0.5114 0.0229 0.4826
4 Sc 0.7591 0.5182 0.2798